[1]
ThCuAg: relaxed, PBE-GGA.

Values from the calculation:
Space group: F-43m
Excess energy over the best structure of this formula in the dataset in meV/atom: 190
E_form in eV/atom: 0.037

a b c (Å): 4.6533 4.6533 4.6533
angles (deg): 60.00 60.00 60.00
Element x y z (fractional)
1 Th 0.0000 0.0000 0.0000
2 Cu 0.7500 0.7500 0.7500
3 Ag 0.5000 0.5000 0.5000


[2]
Tc5Au: relaxed, PBE-GGA.

Values from the calculation:
Space group: Cmmm
Excess energy over the best structure of this formula in the dataset in meV/atom: 59
E_form in eV/atom: 0.160

a b c (Å): 6.1035 6.1035 3.9672
angles (deg): 90.00 90.00 142.44
Element x y z (fractional)
1 Tc 0.0000 0.0000 0.0000
2 Tc 0.1741 0.8259 0.5000
3 Tc 0.3300 0.6700 0.0000
4 Tc 0.6700 0.3300 0.0000
5 Tc 0.8259 0.1741 0.5000
6 Au 0.5000 0.5000 0.5000


[3]
HfTc2ICl: relaxed, PBE-GGA.

Values from the calculation:
E_form (uncorrected) in eV/atom: 1.025
Space group: P4/mmm

a b c (Å): 5.0878 5.0878 4.9020
angles (deg): 90.00 90.00 90.00
Element x y z (fractional)
1 Hf 0.0000 0.0000 0.0000
2 Tc 0.0000 0.5000 0.0000
3 Tc 0.5000 0.0000 0.0000
4 I 0.5000 0.5000 0.5000
5 Cl 0.0000 0.0000 0.5000


[4]
YErMgSc: relaxed, PBE-GGA.

Values from the calculation:
Space group: F-43m
Excess energy over the best structure of this formula in the dataset in meV/atom: 0
E_form in eV/atom: 0.028

a b c (Å): 5.3704 5.3704 5.3704
angles (deg): 60.00 60.00 60.00
Element x y z (fractional)
1 Y 0.0000 0.0000 0.0000
2 Er 0.5000 0.5000 0.5000
3 Mg 0.7500 0.7500 0.7500
4 Sc 0.2500 0.2500 0.2500


[5]
PrNiRh: relaxed, PBE-GGA.

Values from the calculation:
Space group: Imma
Excess energy over the best structure of this formula in the dataset in meV/atom: 0
E_form in eV/atom: -0.486

a b c (Å): 5.3184 5.3184 5.3184
angles (deg): 121.67 117.62 90.65
Element x y z (fractional)
1 Pr 0.3716 0.1216 0.2500
2 Pr 0.6284 0.8784 0.7500
3 Ni 0.0000 0.0000 0.5000
4 Ni 0.0000 0.5000 0.0000
5 Rh 0.0000 0.5000 0.5000
6 Rh 0.5000 0.5000 0.0000


[6]
BPdS3: relaxed, PBE-GGA.

Values from the calculation:
E_form (uncorrected) in eV/atom: -0.127
Space group: Pnma
Excess energy over the best structure of this formula in the dataset in meV/atom: 0

a b c (Å): 7.2242 8.7693 5.5610
angles (deg): 90.00 90.00 90.00
Element x y z (fractional)
1 B 0.1272 0.2500 0.0104
2 B 0.3728 0.7500 0.5104
3 B 0.6272 0.2500 0.4896
4 B 0.8728 0.7500 0.9896
5 Pd 0.0000 0.0000 0.5000
6 Pd 0.0000 0.5000 0.5000
7 Pd 0.5000 0.0000 0.0000
8 Pd 0.5000 0.5000 0.0000
9 S 0.0637 0.2500 0.3231
10 S 0.1672 0.0622 0.8802
11 S 0.1672 0.4378 0.8802
12 S 0.3328 0.5622 0.3802
13 S 0.3328 0.9378 0.3802
14 S 0.4363 0.7500 0.8231
15 S 0.5637 0.2500 0.1769
16 S 0.6672 0.0622 0.6198
17 S 0.6672 0.4378 0.6198
18 S 0.8328 0.5622 0.1198
19 S 0.8328 0.9378 0.1198
20 S 0.9363 0.7500 0.6769


[7]
Nd12Pu3Sc5: relaxed, PBE-GGA.

Values from the calculation:
Space group: Ia-3d
E_form in eV/atom: 1.000

a b c (Å): 15.7516 15.7516 15.7516
angles (deg): 109.47 109.47 109.47
Element x y z (fractional)
1 Nd 0.0625 0.6275 0.3981
2 Nd 0.0625 0.9350 0.6644
3 Nd 0.0650 0.2294 0.1275
4 Nd 0.0650 0.3356 0.9375
5 Nd 0.1019 0.7294 0.6644
6 Nd 0.1019 0.8725 0.4375
7 Nd 0.1275 0.0650 0.2294
8 Nd 0.1275 0.5625 0.8981
9 Nd 0.1644 0.2294 0.6019
10 Nd 0.1644 0.4350 0.5625
11 Nd 0.2294 0.1275 0.0650
12 Nd 0.2294 0.6019 0.1644
13 Nd 0.2706 0.3356 0.8981
14 Nd 0.2706 0.4350 0.3725
15 Nd 0.3356 0.8981 0.2706
16 Nd 0.3356 0.9375 0.0650
17 Nd 0.3725 0.2706 0.4350
18 Nd 0.3725 0.6019 0.9375
19 Nd 0.3981 0.0625 0.6275
20 Nd 0.3981 0.8356 0.7706
21 Nd 0.4350 0.3725 0.2706
22 Nd 0.4350 0.5625 0.1644
23 Nd 0.4375 0.1019 0.8725
24 Nd 0.4375 0.8356 0.5650
25 Nd 0.5625 0.1644 0.4350
26 Nd 0.5625 0.8981 0.1275
27 Nd 0.5650 0.4375 0.8356
28 Nd 0.5650 0.6275 0.7294
29 Nd 0.6019 0.1644 0.2294
30 Nd 0.6019 0.9375 0.3725
31 Nd 0.6275 0.3981 0.0625
32 Nd 0.6275 0.7294 0.5650
33 Nd 0.6644 0.0625 0.9350
34 Nd 0.6644 0.1019 0.7294
35 Nd 0.7294 0.5650 0.6275
36 Nd 0.7294 0.6644 0.1019
37 Nd 0.7706 0.3981 0.8356
38 Nd 0.7706 0.8725 0.9350
39 Nd 0.8356 0.5650 0.4375
40 Nd 0.8356 0.7706 0.3981
41 Nd 0.8725 0.4375 0.1019
42 Nd 0.8725 0.9350 0.7706
43 Nd 0.8981 0.1275 0.5625
44 Nd 0.8981 0.2706 0.3356
45 Nd 0.9350 0.6644 0.0625
46 Nd 0.9350 0.7706 0.8725
47 Nd 0.9375 0.0650 0.3356
48 Nd 0.9375 0.3725 0.6019
49 Pu 0.1250 0.2500 0.3750
50 Pu 0.1250 0.3750 0.7500
51 Pu 0.2500 0.3750 0.1250
52 Pu 0.2500 0.8750 0.6250
53 Pu 0.3750 0.1250 0.2500
54 Pu 0.3750 0.7500 0.1250
55 Pu 0.6250 0.2500 0.8750
56 Pu 0.6250 0.8750 0.7500
57 Pu 0.7500 0.1250 0.3750
58 Pu 0.7500 0.6250 0.8750
59 Pu 0.8750 0.6250 0.2500
60 Pu 0.8750 0.7500 0.6250
61 Sc 0.0000 0.0000 0.0000
62 Sc 0.0000 0.0000 0.5000
63 Sc 0.0000 0.5000 0.0000
64 Sc 0.0000 0.5000 0.5000
65 Sc 0.1250 0.7500 0.8750
66 Sc 0.1250 0.8750 0.2500
67 Sc 0.2500 0.1250 0.8750
68 Sc 0.2500 0.6250 0.3750
69 Sc 0.3750 0.2500 0.6250
70 Sc 0.3750 0.6250 0.7500
71 Sc 0.5000 0.0000 0.0000
72 Sc 0.5000 0.0000 0.5000
73 Sc 0.5000 0.5000 0.0000
74 Sc 0.5000 0.5000 0.5000
75 Sc 0.6250 0.3750 0.2500
76 Sc 0.6250 0.7500 0.3750
77 Sc 0.7500 0.3750 0.6250
78 Sc 0.7500 0.8750 0.1250
79 Sc 0.8750 0.1250 0.7500
80 Sc 0.8750 0.2500 0.1250


[8]
Ac3Zn2Cd9: relaxed, PBE-GGA.

Values from the calculation:
Space group: Immm
E_form in eV/atom: -0.258

a b c (Å): 9.1113 9.1113 9.1113
angles (deg): 147.57 113.60 75.86
Element x y z (fractional)
1 Ac 0.0000 0.0000 0.0000
2 Ac 0.2976 0.2976 0.0000
3 Ac 0.7024 0.7024 0.0000
4 Zn 0.3284 0.5000 0.8284
5 Zn 0.6716 0.5000 0.1716
6 Cd 0.0067 0.6498 0.3568
7 Cd 0.1438 0.8596 0.2842
8 Cd 0.2930 0.6498 0.6432
9 Cd 0.4245 0.1404 0.2842
10 Cd 0.5000 0.0000 0.5000
11 Cd 0.5755 0.8596 0.7158
12 Cd 0.7070 0.3502 0.3568
13 Cd 0.8562 0.1404 0.7158
14 Cd 0.9933 0.3502 0.6432


[9]
SrYAs: relaxed, PBE-GGA.

Values from the calculation:
Space group: F-43m
E_form in eV/atom: -0.671

a b c (Å): 5.0333 5.0333 5.0333
angles (deg): 60.00 60.00 60.00
Element x y z (fractional)
1 Sr 0.0000 0.0000 0.0000
2 Y 0.5000 0.5000 0.5000
3 As 0.7500 0.7500 0.7500


[10]
As2WCl: relaxed, PBE-GGA.

Values from the calculation:
E_form (uncorrected) in eV/atom: 0.225
Space group: Pm
Excess energy over the best structure of this formula in the dataset in meV/atom: 246

a b c (Å): 3.3244 3.8580 7.2366
angles (deg): 90.00 90.28 90.00
Element x y z (fractional)
1 As 0.0000 0.0000 0.0000
2 As 0.0018 0.5000 0.2210
3 W 0.4991 0.5000 0.9210
4 Cl 0.4959 0.0000 0.6636


[11]
Nb4RuN: relaxed, PBE-GGA.

Values from the calculation:
E_form (uncorrected) in eV/atom: 0.196
Space group: I4_1/amd

a b c (Å): 6.6884 6.6884 6.6884
angles (deg): 106.31 106.31 116.01
Element x y z (fractional)
1 Nb 0.1957 0.2526 0.5569
2 Nb 0.1957 0.6389 0.9431
3 Nb 0.2526 0.1957 0.0569
4 Nb 0.3611 0.8043 0.5569
5 Nb 0.6389 0.1957 0.4431
6 Nb 0.7474 0.8043 0.9431
7 Nb 0.8043 0.3611 0.0569
8 Nb 0.8043 0.7474 0.4431
9 Ru 0.1250 0.8750 0.2500
10 Ru 0.8750 0.1250 0.7500
11 N 0.3750 0.6250 0.7500
12 N 0.6250 0.3750 0.2500


[12]
NaIn2Hg2: relaxed, PBE-GGA.

Values from the calculation:
Space group: Cmmm
Excess energy over the best structure of this formula in the dataset in meV/atom: 0
E_form in eV/atom: -0.104

a b c (Å): 9.8321 9.8321 3.3612
angles (deg): 90.00 90.00 156.11
Element x y z (fractional)
1 Na 0.0000 0.0000 0.0000
2 In 0.1908 0.8092 0.0000
3 In 0.8092 0.1908 0.0000
4 Hg 0.4043 0.5957 0.5000
5 Hg 0.5957 0.4043 0.5000


[13]
HoEr3Os: relaxed, PBE-GGA.

Values from the calculation:
Space group: C2/m
Excess energy over the best structure of this formula in the dataset in meV/atom: 0
E_form in eV/atom: -0.169

a b c (Å): 7.2162 7.2162 7.8941
angles (deg): 123.10 123.10 72.61
Element x y z (fractional)
1 Ho 0.0558 0.0558 0.3520
2 Ho 0.9442 0.9442 0.6480
3 Er 0.0563 0.4444 0.2027
4 Er 0.4444 0.0563 0.2027
5 Er 0.4438 0.4438 0.7415
6 Er 0.5562 0.5562 0.2585
7 Er 0.5556 0.9437 0.7973
8 Er 0.9437 0.5556 0.7973
9 Os 0.2503 0.2503 0.8761
10 Os 0.7497 0.7497 0.1239


[14]
CaCdOs: relaxed, PBE-GGA.

Values from the calculation:
Space group: Imm2
Excess energy over the best structure of this formula in the dataset in meV/atom: 22
E_form in eV/atom: 0.448

a b c (Å): 5.3695 5.3695 5.3695
angles (deg): 149.51 130.15 59.57
Element x y z (fractional)
1 Ca 0.0000 0.0000 0.0000
2 Cd 0.3170 0.3170 0.0000
3 Os 0.6709 0.6709 0.0000


[15]
NbGeRh: relaxed, PBE-GGA.

Values from the calculation:
Space group: P2_1/m
E_form in eV/atom: -0.603

a b c (Å): 6.5603 3.8480 11.2450
angles (deg): 90.00 90.54 90.00
Element x y z (fractional)
1 Nb 0.0240 0.2500 0.2090
2 Nb 0.3405 0.7500 0.5784
3 Nb 0.4671 0.7500 0.8834
4 Nb 0.5329 0.2500 0.1166
5 Nb 0.6595 0.2500 0.4216
6 Nb 0.9760 0.7500 0.7910
7 Ge 0.2420 0.7500 0.0861
8 Ge 0.2464 0.2500 0.4161
9 Ge 0.2680 0.2500 0.7514
10 Ge 0.7320 0.7500 0.2486
11 Ge 0.7536 0.7500 0.5839
12 Ge 0.7580 0.2500 0.9139
13 Rh 0.0096 0.2500 0.5910
14 Rh 0.1455 0.2500 0.9603
15 Rh 0.3682 0.7500 0.2945
16 Rh 0.6318 0.2500 0.7055
17 Rh 0.8545 0.7500 0.0397
18 Rh 0.9904 0.7500 0.4090


[16]
GaGe2PbO6: relaxed, PBE-GGA.

Values from the calculation:
E_form (uncorrected) in eV/atom: -1.437
Space group: C2/c

a b c (Å): 7.3509 7.3509 6.6944
angles (deg): 113.26 113.26 79.72
Element x y z (fractional)
1 Ga 0.1978 0.8022 0.7500
2 Ga 0.8022 0.1978 0.2500
3 Ge 0.2410 0.3546 0.3433
4 Ge 0.3546 0.2410 0.8433
5 Ge 0.6454 0.7590 0.1567
6 Ge 0.7590 0.6454 0.6567
7 Pb 0.1817 0.8183 0.2500
8 Pb 0.8183 0.1817 0.7500
9 O 0.0280 0.1968 0.1841
10 O 0.1631 0.6082 0.4617
11 O 0.1968 0.0280 0.6841
12 O 0.2784 0.3885 0.0933
13 O 0.3885 0.2784 0.5933
14 O 0.3918 0.8369 0.0383
15 O 0.6082 0.1631 0.9617
16 O 0.6115 0.7216 0.4067
17 O 0.7216 0.6115 0.9067
18 O 0.8032 0.9720 0.3159
19 O 0.8369 0.3918 0.5383
20 O 0.9720 0.8032 0.8159


[17]
Hf3Np5As8: relaxed, PBE-GGA.

Values from the calculation:
Space group: R-3m
E_form in eV/atom: -0.816

a b c (Å): 7.9930 7.9930 7.9930
angles (deg): 59.87 59.87 59.87
Element x y z (fractional)
1 Hf 0.0000 0.5000 0.5000
2 Hf 0.5000 0.0000 0.5000
3 Hf 0.5000 0.5000 0.0000
4 Np 0.0000 0.0000 0.0000
5 Np 0.0000 0.0000 0.5000
6 Np 0.0000 0.5000 0.0000
7 Np 0.5000 0.0000 0.0000
8 Np 0.5000 0.5000 0.5000
9 As 0.2500 0.2500 0.7375
10 As 0.2500 0.7375 0.2500
11 As 0.2554 0.2554 0.2554
12 As 0.2625 0.7500 0.7500
13 As 0.7375 0.2500 0.2500
14 As 0.7446 0.7446 0.7446
15 As 0.7500 0.2625 0.7500
16 As 0.7500 0.7500 0.2625


[18]
NaYZr: relaxed, PBE-GGA.

Values from the calculation:
Space group: P6_3/mmc
Excess energy over the best structure of this formula in the dataset in meV/atom: 563
E_form in eV/atom: 0.657

a b c (Å): 5.7064 5.7064 6.1762
angles (deg): 90.00 90.00 120.00
Element x y z (fractional)
1 Na 0.0000 0.0000 0.0000
2 Na 0.0000 0.0000 0.5000
3 Y 0.3333 0.6667 0.2500
4 Y 0.6667 0.3333 0.7500
5 Zr 0.3333 0.6667 0.7500
6 Zr 0.6667 0.3333 0.2500


[19]
Ti15Al2Pb2: relaxed, PBE-GGA.

Values from the calculation:
Space group: R-3m
E_form in eV/atom: 0.210

a b c (Å): 7.1774 7.1774 7.1774
angles (deg): 78.64 78.64 78.64
Element x y z (fractional)
1 Ti 0.0000 0.0000 0.5000
2 Ti 0.0000 0.2966 0.7034
3 Ti 0.0000 0.5000 0.0000
4 Ti 0.0000 0.7034 0.2966
5 Ti 0.1565 0.6293 0.6293
6 Ti 0.2966 0.0000 0.7034
7 Ti 0.2966 0.7034 0.0000
8 Ti 0.3707 0.3707 0.8435
9 Ti 0.3707 0.8435 0.3707
10 Ti 0.5000 0.0000 0.0000
11 Ti 0.6293 0.1565 0.6293
12 Ti 0.6293 0.6293 0.1565
13 Ti 0.7034 0.0000 0.2966
14 Ti 0.7034 0.2966 0.0000
15 Ti 0.8435 0.3707 0.3707
16 Al 0.0909 0.0909 0.0909
17 Al 0.9091 0.9091 0.9091
18 Pb 0.3142 0.3142 0.3142
19 Pb 0.6858 0.6858 0.6858


[20]
SmTmCo: relaxed, PBE-GGA.

Values from the calculation:
Space group: P-1
Excess energy over the best structure of this formula in the dataset in meV/atom: 0
E_form in eV/atom: -0.150

a b c (Å): 3.6728 6.3433 6.8873
angles (deg): 74.68 74.60 73.18
Element x y z (fractional)
1 Sm 0.1727 0.2416 0.4117
2 Sm 0.8273 0.7584 0.5883
3 Tm 0.4219 0.2674 0.8888
4 Tm 0.5781 0.7326 0.1112
5 Co 0.1141 0.9604 0.8113
6 Co 0.8859 0.0396 0.1887